# Cs2SmS10 | Alexandria via LeMat-Bulk | PBE | relaxed
# Density of states at the Fermi level (states/eV/cell): 14.44
# Formation energy (no corrections) (eV per atom): -0.52
data_Cs2SmS10
_chemical_formula_sum 'Cs4 Sm2 S20'
_symmetry_space_group_name_H-M 'P 1'
_symmetry_Int_Tables_number 1
_symmetry_space_group_name_Hall 'P 1'
_cell_length_a 12.181
_cell_length_b 14.069
_cell_length_c 5.204
_cell_angle_alpha 90.00
_cell_angle_beta 90.00
_cell_angle_gamma 90.00
loop_
_atom_site_label
_atom_site_fract_x
_atom_site_fract_y
_atom_site_fract_z
Cs1 0.203 0.192 0.000
Cs2 0.297 0.692 0.000
Cs3 0.703 0.308 0.000
Cs4 0.797 0.808 0.000
Sm1 0.000 0.500 0.500
Sm2 0.500 0.000 0.500
S1 0.004 0.930 0.500
S2 0.018 0.664 0.198
S3 0.018 0.664 0.802
S4 0.195 0.887 0.500
S5 0.233 0.515 0.500
S6 0.267 0.015 0.500
S7 0.305 0.387 0.500
S8 0.482 0.164 0.198
S9 0.482 0.164 0.802
S10 0.496 0.430 0.500
S11 0.504 0.570 0.500
S12 0.518 0.836 0.198
S13 0.518 0.836 0.802
S14 0.695 0.613 0.500
S15 0.733 0.985 0.500
S16 0.767 0.485 0.500
S17 0.805 0.113 0.500
S18 0.982 0.336 0.198
S19 0.982 0.336 0.802
S20 0.996 0.070 0.500

# TbCdHg6 | Alexandria via LeMat-Bulk | PBE | relaxed
# Formation energy from the elements (eV per atom): -0.145
# Density of states at the Fermi level (states/eV/cell): 2.87
data_TbCdHg6
_chemical_formula_sum 'Tb1 Cd1 Hg6'
_symmetry_space_group_name_H-M 'P 1'
_symmetry_Int_Tables_number 1
_symmetry_space_group_name_Hall 'P 1'
_cell_length_a 4.958
_cell_length_b 6.537
_cell_length_c 6.537
_cell_angle_alpha 67.76
_cell_angle_beta 90.00
_cell_angle_gamma 90.00
loop_
_atom_site_label
_atom_site_fract_x
_atom_site_fract_y
_atom_site_fract_z
Tb1 0.000 0.000 0.000
Cd1 0.500 0.241 0.241
Hg1 0.000 0.467 0.467
Hg2 0.000 0.500 0.970
Hg3 0.000 0.970 0.500
Hg4 0.500 0.299 0.746
Hg5 0.500 0.746 0.299
Hg6 0.500 0.801 0.801

# Tb12NdSc6 | Alexandria via LeMat-Bulk | PBE | relaxed
# Formation energy from the elements (eV per atom): 0.242
# Density of states at the Fermi level (states/eV/cell): 31.03
data_Tb12NdSc6
_chemical_formula_sum 'Tb12 Nd1 Sc6'
_symmetry_space_group_name_H-M 'P 1'
_symmetry_Int_Tables_number 1
_symmetry_space_group_name_Hall 'P 1'
_cell_length_a 9.070
_cell_length_b 9.070
_cell_length_c 9.070
_cell_angle_alpha 109.47
_cell_angle_beta 109.47
_cell_angle_gamma 109.47
loop_
_atom_site_label
_atom_site_fract_x
_atom_site_fract_y
_atom_site_fract_z
Tb1 0.070 0.268 0.802
Tb2 0.198 0.466 0.268
Tb3 0.198 0.930 0.732
Tb4 0.268 0.198 0.466
Tb5 0.268 0.802 0.070
Tb6 0.466 0.268 0.198
Tb7 0.534 0.732 0.802
Tb8 0.732 0.198 0.930
Tb9 0.732 0.802 0.534
Tb10 0.802 0.070 0.268
Tb11 0.802 0.534 0.732
Tb12 0.930 0.732 0.198
Nd1 0.000 0.000 0.000
Sc1 0.138 0.500 0.638
Sc2 0.362 0.862 0.500
Sc3 0.500 0.362 0.862
Sc4 0.500 0.638 0.138
Sc5 0.638 0.138 0.500
Sc6 0.862 0.500 0.362

# Y5Ho3Er4 | Alexandria via LeMat-Bulk | PBE | relaxed
# Formation energy from the elements (eV per atom): 0.025
# Density of states at the Fermi level (states/eV/cell): 16.80
data_Y5Ho3Er4
_chemical_formula_sum 'Y5 Ho3 Er4'
_symmetry_space_group_name_H-M 'P 1'
_symmetry_Int_Tables_number 1
_symmetry_space_group_name_Hall 'P 1'
_cell_length_a 6.124
_cell_length_b 7.082
_cell_length_c 8.661
_cell_angle_alpha 89.99
_cell_angle_beta 89.93
_cell_angle_gamma 89.93
loop_
_atom_site_label
_atom_site_fract_x
_atom_site_fract_y
_atom_site_fract_z
Y1 0.000 0.000 0.000
Y2 0.331 0.500 0.665
Y3 0.500 0.250 0.000
Y4 0.500 0.750 0.000
Y5 0.669 0.500 0.335
Ho1 0.000 0.500 0.000
Ho2 0.166 0.751 0.333
Ho3 0.834 0.249 0.667
Er1 0.166 0.249 0.334
Er2 0.334 0.000 0.664
Er3 0.666 0.000 0.336
Er4 0.834 0.751 0.666

Among the records above, which one has the lowest density of states at the Fermi level? TbCdHg6

The lowest density of states at the Fermi level belongs to which entry? TbCdHg6

What is the density of states at the Fermi level in the first record? 14.44 states/eV/cell